1.
Compound: HfCrRe2
Source: Alexandria via LeMat-Bulk
Functional: PBE
Structure: optimized geometry

Summary:
N(E_F): 6.12 states/eV per cell
Formation energy: 0.534 eV per atom

a = 5.711 Å, b = 5.711 Å, c = 5.711 Å
α = 102.25°, β = 102.25°, γ = 125.13°
Sites, in units of the cell vectors:
Hf: 0.000 0.000 0.000
Hf: 0.750 0.250 0.500
Cr: 0.250 0.750 0.500
Cr: 0.500 0.500 0.000
Re: 0.174 0.625 0.049
Re: 0.375 0.424 0.549
Re: 0.576 0.125 0.951
Re: 0.875 0.826 0.451

=====

2.
Compound: HfCrRe
Source: Alexandria via LeMat-Bulk
Functional: PBE
Structure: optimized geometry

Summary:
N(E_F): 4.80 states/eV per cell
Formation energy: -0.310 eV per atom

a = 5.145 Å, b = 5.145 Å, c = 5.145 Å
α = 120.73°, β = 118.70°, γ = 90.50°
Sites, in units of the cell vectors:
Hf: 0.374 0.124 0.250
Hf: 0.626 0.876 0.750
Cr: 0.000 0.000 0.500
Cr: 0.000 0.500 0.000
Re: 0.000 0.500 0.500
Re: 0.500 0.500 0.000

=====

3.
Compound: HfCr3Re
Source: Alexandria via LeMat-Bulk
Functional: PBE
Structure: optimized geometry

Summary:
N(E_F): 4.58 states/eV per cell
Formation energy: 1.188 eV per atom

a = 4.501 Å, b = 4.501 Å, c = 4.501 Å
α = 90.00°, β = 90.00°, γ = 90.00°
Sites, in units of the cell vectors:
Hf: 0.000 0.000 0.000
Cr: 0.000 0.500 0.500
Cr: 0.500 0.000 0.500
Cr: 0.500 0.500 0.000
Re: 0.500 0.500 0.500

=====

4.
Compound: HfCrRe2Rh
Source: Alexandria via LeMat-Bulk
Functional: PBE
Structure: optimized geometry

Summary:
N(E_F): 5.55 states/eV per cell
Formation energy: 0.838 eV per atom

a = 4.473 Å, b = 4.473 Å, c = 4.430 Å
α = 90.00°, β = 90.00°, γ = 90.00°
Sites, in units of the cell vectors:
Hf: 0.000 0.000 0.000
Cr: 0.500 0.500 0.500
Re: 0.000 0.500 0.500
Re: 0.500 0.000 0.500
Rh: 0.500 0.500 0.000

=====

5.
Compound: Hf2TaCrRe
Source: Alexandria via LeMat-Bulk
Functional: PBE
Structure: optimized geometry

Summary:
N(E_F): 5.05 states/eV per cell
Formation energy: 1.140 eV per atom

a = 5.000 Å, b = 5.000 Å, c = 4.456 Å
α = 90.00°, β = 90.00°, γ = 90.00°
Sites, in units of the cell vectors:
Hf: 0.000 0.500 0.000
Hf: 0.500 0.000 0.000
Ta: 0.000 0.000 0.500
Cr: 0.500 0.500 0.500
Re: 0.500 0.500 0.000

=====

6.
Compound: HfCrReTc
Source: Alexandria via LeMat-Bulk
Functional: PBE
Structure: optimized geometry

Summary:
N(E_F): 2.58 states/eV per cell
Formation energy: -0.119 eV per atom

a = 4.421 Å, b = 4.421 Å, c = 4.421 Å
α = 60.00°, β = 60.00°, γ = 60.00°
Sites, in units of the cell vectors:
Hf: 0.000 0.000 0.000
Cr: 0.250 0.250 0.250
Re: 0.500 0.500 0.500
Tc: 0.750 0.750 0.750

=====

7.
Compound: HfTiCrRe
Source: Alexandria via LeMat-Bulk
Functional: PBE
Structure: optimized geometry

Summary:
N(E_F): 4.13 states/eV per cell
Formation energy: -0.132 eV per atom

a = 4.520 Å, b = 4.520 Å, c = 4.520 Å
α = 60.00°, β = 60.00°, γ = 60.00°
Sites, in units of the cell vectors:
Hf: 0.000 0.000 0.000
Ti: 0.500 0.500 0.500
Cr: 0.750 0.750 0.750
Re: 0.250 0.250 0.250

=====

8.
Compound: HfCrReW2
Source: Alexandria via LeMat-Bulk
Functional: PBE
Structure: optimized geometry

Summary:
N(E_F): 9.10 states/eV per cell
Formation energy: 1.991 eV per atom

a = 4.738 Å, b = 4.738 Å, c = 4.903 Å
α = 90.00°, β = 90.00°, γ = 90.00°
Sites, in units of the cell vectors:
Hf: 0.000 0.000 0.000
Cr: 0.500 0.500 0.000
Re: 0.000 0.000 0.500
W: 0.000 0.500 0.500
W: 0.500 0.000 0.500

=====

9.
Compound: HfCr2ReW
Source: Alexandria via LeMat-Bulk
Functional: PBE
Structure: optimized geometry

Summary:
N(E_F): 5.66 states/eV per cell
Formation energy: 2.273 eV per atom

a = 4.389 Å, b = 4.389 Å, c = 4.808 Å
α = 90.00°, β = 90.00°, γ = 90.00°
Sites, in units of the cell vectors:
Hf: 0.000 0.000 0.000
Cr: 0.000 0.500 0.000
Cr: 0.500 0.000 0.000
Re: 0.000 0.000 0.500
W: 0.500 0.500 0.500

=====

10.
Compound: HfCr2Rh2
Source: Alexandria via LeMat-Bulk
Functional: PBE
Structure: optimized geometry

Summary:
N(E_F): 12.92 states/eV per cell
Formation energy: -0.097 eV per atom

a = 7.317 Å, b = 7.317 Å, c = 2.743 Å
α = 90.00°, β = 90.00°, γ = 90.00°
Sites, in units of the cell vectors:
Hf: 0.000 0.000 0.000
Hf: 0.500 0.500 0.000
Cr: 0.110 0.390 0.000
Cr: 0.390 0.890 0.000
Cr: 0.610 0.110 0.000
Cr: 0.890 0.610 0.000
Rh: 0.180 0.680 0.500
Rh: 0.320 0.180 0.500
Rh: 0.680 0.820 0.500
Rh: 0.820 0.320 0.500

=====

11.
Compound: HfCrRh2
Source: Alexandria via LeMat-Bulk
Functional: PBE
Structure: optimized geometry

Summary:
N(E_F): 0.86 states/eV per cell
Formation energy: 0.187 eV per atom

a = 8.899 Å, b = 8.899 Å, c = 8.899 Å
α = 154.04°, β = 154.04°, γ = 37.05°
Sites, in units of the cell vectors:
Hf: 0.000 0.000 0.000
Hf: 0.750 0.250 0.500
Cr: 0.250 0.750 0.500
Cr: 0.500 0.500 0.000
Rh: 0.153 0.625 0.028
Rh: 0.375 0.403 0.528
Rh: 0.597 0.125 0.972
Rh: 0.875 0.847 0.472

=====

12.
Compound: HfCr2Rh
Source: Alexandria via LeMat-Bulk
Functional: PBE
Structure: optimized geometry

Summary:
N(E_F): 8.96 states/eV per cell
Formation energy: 0.154 eV per atom

a = 4.351 Å, b = 4.351 Å, c = 4.351 Å
α = 60.00°, β = 60.00°, γ = 60.00°
Sites, in units of the cell vectors:
Hf: 0.000 0.000 0.000
Cr: 0.250 0.250 0.250
Cr: 0.750 0.750 0.750
Rh: 0.500 0.500 0.500

=====

13.
Compound: Hf2Cr2Rh
Source: Alexandria via LeMat-Bulk
Functional: PBE
Structure: optimized geometry

Summary:
N(E_F): 16.14 states/eV per cell
Formation energy: -0.067 eV per atom

a = 6.317 Å, b = 6.317 Å, c = 4.175 Å
α = 90.00°, β = 90.00°, γ = 90.00°
Sites, in units of the cell vectors:
Hf: 0.180 0.320 0.000
Hf: 0.320 0.820 0.000
Hf: 0.680 0.180 0.000
Hf: 0.820 0.680 0.000
Cr: 0.113 0.613 0.500
Cr: 0.387 0.113 0.500
Cr: 0.613 0.887 0.500
Cr: 0.887 0.387 0.500
Rh: 0.000 0.000 0.500
Rh: 0.500 0.500 0.500

=====

14.
Compound: HfCrRh2
Source: Alexandria via LeMat-Bulk
Functional: PBE
Structure: optimized geometry

Summary:
N(E_F): 3.20 states/eV per cell
Formation energy: -0.534 eV per atom

a = 4.178 Å, b = 4.178 Å, c = 3.589 Å
α = 90.00°, β = 90.00°, γ = 90.00°
Sites, in units of the cell vectors:
Hf: 0.000 0.000 0.000
Cr: 0.500 0.500 0.000
Rh: 0.000 0.500 0.500
Rh: 0.500 0.000 0.500

=====

15.
Compound: HfCr2Rh2
Source: Alexandria via LeMat-Bulk
Functional: PBE
Structure: optimized geometry

Summary:
N(E_F): 8.73 states/eV per cell
Formation energy: -0.088 eV per atom

a = 5.628 Å, b = 5.628 Å, c = 5.628 Å
α = 138.53°, β = 138.53°, γ = 60.09°
Sites, in units of the cell vectors:
Hf: 0.000 0.000 0.000
Cr: 0.399 0.399 0.000
Cr: 0.601 0.601 0.000
Rh: 0.250 0.750 0.500
Rh: 0.750 0.250 0.500

=====

16.
Compound: Hf2CrRh2
Source: Alexandria via LeMat-Bulk
Functional: PBE
Structure: optimized geometry

Summary:
N(E_F): 9.71 states/eV per cell
Formation energy: -0.437 eV per atom

a = 7.475 Å, b = 7.475 Å, c = 3.219 Å
α = 90.00°, β = 90.00°, γ = 90.00°
Sites, in units of the cell vectors:
Hf: 0.163 0.337 0.000
Hf: 0.337 0.837 0.000
Hf: 0.663 0.163 0.000
Hf: 0.837 0.663 0.000
Cr: 0.000 0.000 0.500
Cr: 0.500 0.500 0.500
Rh: 0.137 0.637 0.500
Rh: 0.363 0.137 0.500
Rh: 0.637 0.863 0.500
Rh: 0.863 0.363 0.500

=====

17.
Compound: HfCr2Rh
Source: Alexandria via LeMat-Bulk
Functional: PBE
Structure: optimized geometry

Summary:
N(E_F): 9.64 states/eV per cell
Formation energy: 0.467 eV per atom

a = 5.622 Å, b = 5.622 Å, c = 5.622 Å
α = 101.59°, β = 101.59°, γ = 126.74°
Sites, in units of the cell vectors:
Hf: 0.000 0.000 0.000
Hf: 0.750 0.250 0.500
Cr: 0.155 0.625 0.030
Cr: 0.375 0.405 0.530
Cr: 0.595 0.125 0.970
Cr: 0.875 0.845 0.470
Rh: 0.250 0.750 0.500
Rh: 0.500 0.500 0.000

=====

18.
Compound: HfCr2Rh2
Source: Alexandria via LeMat-Bulk
Functional: PBE
Structure: optimized geometry

Summary:
N(E_F): 9.81 states/eV per cell
Formation energy: -0.036 eV per atom

a = 7.330 Å, b = 7.330 Å, c = 2.742 Å
α = 90.00°, β = 90.00°, γ = 90.00°
Sites, in units of the cell vectors:
Hf: 0.000 0.000 0.000
Hf: 0.500 0.500 0.000
Cr: 0.168 0.332 0.500
Cr: 0.332 0.832 0.500
Cr: 0.668 0.168 0.500
Cr: 0.832 0.668 0.500
Rh: 0.130 0.630 0.000
Rh: 0.370 0.130 0.000
Rh: 0.630 0.870 0.000
Rh: 0.870 0.370 0.000

=====

19.
Compound: HfCrRh2S
Source: Alexandria via LeMat-Bulk
Functional: PBE
Structure: optimized geometry

Summary:
N(E_F): 4.93 states/eV per cell
Total energy: -0.51085 Ry per atom

a = 4.356 Å, b = 4.356 Å, c = 5.019 Å
α = 90.00°, β = 90.00°, γ = 90.00°
Sites, in units of the cell vectors:
Hf: 0.000 0.000 0.000
Cr: 0.000 0.000 0.500
Rh: 0.000 0.500 0.500
Rh: 0.500 0.000 0.500
S: 0.500 0.500 0.000

=====

20.
Compound: HfCrTcRh2
Source: Alexandria via LeMat-Bulk
Functional: PBE
Structure: optimized geometry

Summary:
N(E_F): 8.60 states/eV per cell
Formation energy: 1.604 eV per atom

a = 4.684 Å, b = 4.684 Å, c = 4.571 Å
α = 90.00°, β = 90.00°, γ = 90.00°
Sites, in units of the cell vectors:
Hf: 0.000 0.000 0.000
Cr: 0.000 0.000 0.500
Tc: 0.500 0.500 0.500
Rh: 0.000 0.500 0.000
Rh: 0.500 0.000 0.000